1.
PBE LaTb3Tm3, relaxed; density of states at the Fermi level = 27.486 states/eV/cell; SG = P6_3/m, No. 176
1.0
9.578 0.000 0.000
-4.789 8.295 0.000
0.000 0.000 5.670
La Tb Tm
2 6 6
Direct
0.333 0.667 0.250 La
0.667 0.333 0.750 La
0.048 0.237 0.250 Tb
0.189 0.952 0.250 Tb
0.237 0.189 0.750 Tb
0.763 0.811 0.250 Tb
0.811 0.048 0.750 Tb
0.952 0.763 0.750 Tb
0.096 0.477 0.750 Tm
0.380 0.904 0.750 Tm
0.477 0.380 0.250 Tm
0.523 0.620 0.750 Tm
0.620 0.096 0.250 Tm
0.904 0.523 0.250 Tm

2.
PBE LaTb3Tm3, relaxed; density of states at the Fermi level = 20.125 states/eV/cell; SG = P6_3/m, No. 176
1.0
12.342 0.000 0.000
-6.171 10.688 0.000
0.000 0.000 3.685
La Tb Tm
2 6 6
Direct
0.333 0.667 0.250 La
0.667 0.333 0.750 La
0.099 0.488 0.750 Tb
0.389 0.901 0.750 Tb
0.488 0.389 0.250 Tb
0.512 0.611 0.750 Tb
0.611 0.099 0.250 Tb
0.901 0.512 0.250 Tb
0.081 0.774 0.750 Tm
0.226 0.308 0.750 Tm
0.308 0.081 0.250 Tm
0.692 0.919 0.750 Tm
0.774 0.692 0.250 Tm
0.919 0.226 0.250 Tm

Which of them is least stable? Easy: 2.

1.
PBE LaTb6Tm3, relaxed; density of states at the Fermi level = 24.812 states/eV/cell; SG = Cmc2_1, No. 36
1.0
5.341 -9.658 0.000
5.341 9.658 0.000
0.000 0.000 6.259
La Tb Tm
2 12 6
Direct
0.212 0.788 0.500 La
0.788 0.212 0.000 La
0.015 0.436 0.653 Tb
0.049 0.951 0.201 Tb
0.288 0.372 0.799 Tb
0.313 0.687 0.935 Tb
0.372 0.288 0.299 Tb
0.436 0.015 0.153 Tb
0.564 0.985 0.653 Tb
0.628 0.712 0.799 Tb
0.687 0.313 0.435 Tb
0.712 0.628 0.299 Tb
0.951 0.049 0.701 Tb
0.985 0.564 0.153 Tb
0.077 0.293 0.242 Tm
0.293 0.077 0.742 Tm
0.386 0.614 0.403 Tm
0.614 0.386 0.903 Tm
0.707 0.923 0.242 Tm
0.923 0.707 0.742 Tm

2.
PBE LaTb6Tm3, relaxed; density of states at the Fermi level = 21.038 states/eV/cell; SG = R3, No. 146
1.0
4.897 2.827 3.940
-4.897 2.827 3.940
0.000 -5.655 3.940
La Tb Tm
1 6 3
Direct
0.000 0.000 0.000 La
0.169 0.830 0.497 Tb
0.335 0.664 0.997 Tb
0.497 0.169 0.830 Tb
0.664 0.997 0.335 Tb
0.830 0.497 0.169 Tb
0.997 0.335 0.664 Tb
0.258 0.258 0.258 Tm
0.502 0.502 0.502 Tm
0.749 0.749 0.749 Tm

Which of them is least stable? Easy: 2.